# 1
{"formula": "CaCr2In", "functional": "PBE", "state": "relaxed", "lattice": [[-2.6928, -0.4970, 1.8000], [0.1518, -3.1537, -0.6438], [4.4547, -4.2020, 5.5040]], "species": ["Cr", "Cr", "Ca", "In"], "fractional_positions": [[0.0000, 0.9262, 0.0738], [0.5000, 0.2949, 0.2051], [0.5000, 0.7320, 0.7680], [0.0000, 0.5470, 0.4531]], "magnetic_moment_mub_per_cell": 0.733, "formation_energy_ev_per_fu": 0.7, "dft_energy_ev_per_atom": -5.812}

# 2
{"formula": "Al2InAg", "functional": "PBE", "state": "relaxed", "lattice": [[4.0700, 0.0000, 0.0000], [0.0000, 3.0065, -0.0173], [0.0000, 2.8800, 6.2994]], "species": ["Al", "Al", "Ag", "In"], "fractional_positions": [[0.0000, 0.9988, 0.0008], [0.5000, 0.2830, 0.2197], [0.5000, 0.7159, 0.7814], [0.0000, 0.5022, 0.4981]], "magnetic_moment_mub_per_cell": 0.000, "formation_energy_ev_per_fu": 0.4, "dft_energy_ev_per_atom": -3.170}

# 3
{"formula": "Pm10DyHo4", "functional": "PBE", "state": "relaxed", "lattice": [[7.0716, 0.0000, 3.1931], [3.5358, 8.6921, 1.5966], [-0.0413, 0.0000, 9.5185]], "species": ["Pm", "Pm", "Pm", "Pm", "Pm", "Pm", "Pm", "Pm", "Pm", "Pm", "Dy", "Ho", "Ho", "Ho", "Ho"], "fractional_positions": [[0.2500, 0.5000, 0.5000], [0.6505, 0.3000, 0.8992], [0.0495, 0.1008, 0.3000], [0.4504, 0.8992, 0.7000], [0.8496, 0.7000, 0.1008], [0.3495, 0.7000, 0.1008], [0.7500, 0.5000, 0.5000], [0.1504, 0.3000, 0.8992], [0.5496, 0.1008, 0.3000], [0.9505, 0.8992, 0.7000], [0.0000, 0.0000, 0.0000], [0.3998, 0.8006, 0.3999], [0.7996, 0.6001, 0.8006], [0.2004, 0.3999, 0.1994], [0.6002, 0.1994, 0.6001]], "magnetic_moment_mub_per_cell": 0.000, "formation_energy_ev_per_fu": 10.5, "dft_energy_ev_per_atom": -3.995}

# 4
{"formula": "LaSb2BrO", "functional": "PBE", "state": "relaxed", "lattice": [[-2.4549, -4.4626, -1.5181], [2.6124, 0.2993, -5.1044], [4.0462, -2.8731, 1.9024]], "species": ["Sb", "Sb", "O", "Br", "La"], "fractional_positions": [[0.0000, 0.0000, 0.5000], [0.5000, 0.0000, 0.0000], [0.5000, 0.5000, 0.5000], [0.0000, 0.0000, 0.0000], [0.0000, 0.5000, 0.0000]], "magnetic_moment_mub_per_cell": 0.002, "raw_formation_energy_ev_per_atom": 0.565, "dft_energy_ev_per_atom": -3.395}

> What is the formula in the first record?

CaCr2In

Repeat the third record exactly.
{"formula": "Pm10DyHo4", "functional": "PBE", "state": "relaxed", "lattice": [[7.0716, 0.0000, 3.1931], [3.5358, 8.6921, 1.5966], [-0.0413, 0.0000, 9.5185]], "species": ["Pm", "Pm", "Pm", "Pm", "Pm", "Pm", "Pm", "Pm", "Pm", "Pm", "Dy", "Ho", "Ho", "Ho", "Ho"], "fractional_positions": [[0.2500, 0.5000, 0.5000], [0.6505, 0.3000, 0.8992], [0.0495, 0.1008, 0.3000], [0.4504, 0.8992, 0.7000], [0.8496, 0.7000, 0.1008], [0.3495, 0.7000, 0.1008], [0.7500, 0.5000, 0.5000], [0.1504, 0.3000, 0.8992], [0.5496, 0.1008, 0.3000], [0.9505, 0.8992, 0.7000], [0.0000, 0.0000, 0.0000], [0.3998, 0.8006, 0.3999], [0.7996, 0.6001, 0.8006], [0.2004, 0.3999, 0.1994], [0.6002, 0.1994, 0.6001]], "magnetic_moment_mub_per_cell": 0.000, "formation_energy_ev_per_fu": 10.5, "dft_energy_ev_per_atom": -3.995}

> Number 4 is which compound?

LaSb2BrO